VASP calculation (PBE) on an optimized crystal structure of Ni3Mo2.

abc: 6.1561 6.1561 13.0143
angles: 90.00 90.00 120.00
Space group R-3c (No. 167, hexagonal axes)
Unique sites:
Ni: 0.0000 0.2417 0.2500 (multiplicity 18)
Mo: 0.0000 0.0000 0.0927 (multiplicity 12)

As for the energy relative to the elements: 0.571 eV/atom. For the magnetization, the calculation gives 0.0 Bohr magnetons per cell.